PrTlAgSn: relaxed, PBE-GGA.

```
PrTlAgSn
1.0
5.292 0.000 0.000
2.646 4.583 0.000
2.646 1.528 4.321
Ag Tl Pr Sn
1 1 1 1
direct
0.750 0.750 0.750 Ag
0.250 0.250 0.250 Tl
0.500 0.500 0.500 Pr
0.000 0.000 0.000 Sn
```

Properties
The formation energy comes out at -0.88 eV per formula unit. As for the space-group type: No. 216. The raw total energy comes out at -14.9 eV per cell.

***

Co2TeI: relaxed, PBE-GGA.

```
Co2TeI
1.0
0.000 3.278 3.278
3.278 0.000 3.278
3.278 3.278 0.000
I Te Co
1 1 2
direct
0.500 0.500 0.500 I
0.000 0.000 0.000 Te
0.750 0.750 0.750 Co
0.250 0.250 0.250 Co
```

Properties
The uncorrected formation energy is 751 meV per atom. As for the space-group type: No. 225. The energy above the lowest structure with this stoichiometry is 43.29 kJ/mol of atoms. The raw total energy comes out at -15.9 eV per cell.

***

Li3GaCu2: relaxed, PBE-GGA.

```
Li3GaCu2
1.0
-2.596 3.513 -2.169
-3.759 -2.763 1.424
-1.521 3.526 5.666
Li Cu Ga
6 4 2
direct
0.555 0.445 0.250 Li
0.664 0.840 0.991 Li
0.840 0.664 0.491 Li
0.160 0.336 0.509 Li
0.336 0.160 0.009 Li
0.445 0.555 0.750 Li
0.895 0.366 0.872 Cu
0.105 0.634 0.128 Cu
0.366 0.895 0.372 Cu
0.634 0.105 0.628 Cu
0.102 0.898 0.750 Ga
0.898 0.102 0.250 Ga
```

Properties
The formation energy comes out at -0.76 eV per formula unit. As for the space-group type: No. 15. The energy above the lowest structure with this stoichiometry is 2.90 kJ/mol of atoms. The raw total energy comes out at -35.4 eV per cell.